A.
Material: PmTmCuHg
Method: DFT, PBE-GGA
State: relaxed Values from VASP.

Values from the calculation:
density of states at the Fermi level = 4.48 states/eV/cell

Structure (Quantum ESPRESSO input):
```
&SYSTEM
  ibrav = 0, nat = 4, ntyp = 4
/
ATOMIC_SPECIES
Pm 145.00 Pm.upf
Tm 168.93 Tm.upf
Cu 63.55 Cu.upf
Hg 200.59 Hg.upf
CELL_PARAMETERS angstrom
3.5510 0.0000 0.0000
0.0000 3.5510 0.0000
0.0000 0.0000 7.5364
ATOMIC_POSITIONS crystal
Pm 0.0000 0.0000 0.0000
Tm 0.0000 0.0000 0.5452
Cu 0.5000 0.5000 0.7467
Hg 0.5000 0.5000 0.2881
```

---

B.
Material: PmTmCuHg
Method: DFT, PBE-GGA
State: relaxed Values from VASP.

Values from the calculation:
density of states at the Fermi level = 10.95 states/eV/cell

Structure (Quantum ESPRESSO input):
```
&SYSTEM
  ibrav = 0, nat = 16, ntyp = 4
/
ATOMIC_SPECIES
Pm 145.00 Pm.upf
Tm 168.93 Tm.upf
Cu 63.55 Cu.upf
Hg 200.59 Hg.upf
CELL_PARAMETERS angstrom
7.2756 0.0000 0.0000
0.0000 7.2756 0.0000
0.0000 0.0000 7.2756
ATOMIC_POSITIONS crystal
Pm 0.0000 0.0000 0.0000
Pm 0.0000 0.5000 0.5000
Pm 0.5000 0.0000 0.5000
Pm 0.5000 0.5000 0.0000
Tm 0.0000 0.0000 0.5000
Tm 0.0000 0.5000 0.0000
Tm 0.5000 0.0000 0.0000
Tm 0.5000 0.5000 0.5000
Cu 0.2500 0.2500 0.7500
Cu 0.2500 0.7500 0.2500
Cu 0.7500 0.2500 0.2500
Cu 0.7500 0.7500 0.7500
Hg 0.2500 0.2500 0.2500
Hg 0.2500 0.7500 0.7500
Hg 0.7500 0.2500 0.7500
Hg 0.7500 0.7500 0.2500
```

---

Question: which arrangement is favored energetically? Ranking from most to least stable: A, B.

---

A.
Material: PmYCuHg
Method: DFT, PBE-GGA
State: relaxed Values from VASP.

Values from the calculation:
density of states at the Fermi level = 4.35 states/eV/cell

Structure (Quantum ESPRESSO input):
```
&SYSTEM
  ibrav = 0, nat = 4, ntyp = 4
/
ATOMIC_SPECIES
Pm 145.00 Pm.upf
Y 88.91 Y.upf
Cu 63.55 Cu.upf
Hg 200.59 Hg.upf
CELL_PARAMETERS angstrom
3.5997 0.0000 0.0000
0.0000 3.5997 0.0000
0.0000 0.0000 7.5220
ATOMIC_POSITIONS crystal
Pm 0.0000 0.0000 0.0000
Y 0.0000 0.0000 0.4578
Cu 0.5000 0.5000 0.2441
Hg 0.5000 0.5000 0.7195
```

---

B.
Material: PmYCuHg
Method: DFT, PBE-GGA
State: relaxed Values from VASP.

Values from the calculation:
density of states at the Fermi level = 9.52 states/eV/cell

Structure (Quantum ESPRESSO input):
```
&SYSTEM
  ibrav = 0, nat = 16, ntyp = 4
/
ATOMIC_SPECIES
Pm 145.00 Pm.upf
Y 88.91 Y.upf
Cu 63.55 Cu.upf
Hg 200.59 Hg.upf
CELL_PARAMETERS angstrom
7.3310 0.0000 0.0000
0.0000 7.3310 0.0000
0.0000 0.0000 7.3310
ATOMIC_POSITIONS crystal
Pm 0.0000 0.0000 0.0000
Pm 0.0000 0.5000 0.5000
Pm 0.5000 0.0000 0.5000
Pm 0.5000 0.5000 0.0000
Y 0.0000 0.0000 0.5000
Y 0.0000 0.5000 0.0000
Y 0.5000 0.0000 0.0000
Y 0.5000 0.5000 0.5000
Cu 0.2500 0.2500 0.2500
Cu 0.2500 0.7500 0.7500
Cu 0.7500 0.2500 0.7500
Cu 0.7500 0.7500 0.2500
Hg 0.2500 0.2500 0.7500
Hg 0.2500 0.7500 0.2500
Hg 0.7500 0.2500 0.2500
Hg 0.7500 0.7500 0.7500
```

---

Question: which arrangement is favored energetically? Ranking from most to least stable: A, B.

---

A.
Material: Pr3Cu2Hg
Method: DFT, PBE-GGA
State: relaxed Values from VASP.

Values from the calculation:
density of states at the Fermi level = 10.88 states/eV/cell

Structure (Quantum ESPRESSO input):
```
&SYSTEM
  ibrav = 0, nat = 12, ntyp = 3
/
ATOMIC_SPECIES
Pr 140.91 Pr.upf
Cu 63.55 Cu.upf
Hg 200.59 Hg.upf
CELL_PARAMETERS angstrom
5.2748 0.0000 0.0000
0.0000 15.6151 0.0000
0.0000 0.0000 3.7240
ATOMIC_POSITIONS crystal
Pr 0.0000 0.0000 0.0000
Pr 0.0000 0.3245 0.0000
Pr 0.0000 0.6755 0.0000
Pr 0.5000 0.1755 0.0000
Pr 0.5000 0.5000 0.0000
Pr 0.5000 0.8245 0.0000
Cu 0.0000 0.1621 0.5000
Cu 0.0000 0.8379 0.5000
Cu 0.5000 0.3379 0.5000
Cu 0.5000 0.6621 0.5000
Hg 0.0000 0.5000 0.5000
Hg 0.5000 0.0000 0.5000
```

---

B.
Material: Pr3Cu2Hg
Method: DFT, PBE-GGA
State: relaxed Values from VASP.

Values from the calculation:
density of states at the Fermi level = 6.41 states/eV/cell

Structure (Quantum ESPRESSO input):
```
&SYSTEM
  ibrav = 0, nat = 6, ntyp = 3
/
ATOMIC_SPECIES
Pr 140.91 Pr.upf
Cu 63.55 Cu.upf
Hg 200.59 Hg.upf
CELL_PARAMETERS angstrom
3.6851 0.0000 0.0000
0.0000 3.6851 0.0000
0.0000 0.0000 11.2449
ATOMIC_POSITIONS crystal
Pr 0.0000 0.0000 0.0000
Pr 0.0000 0.0000 0.3158
Pr 0.0000 0.0000 0.6842
Cu 0.5000 0.5000 0.1558
Cu 0.5000 0.5000 0.8442
Hg 0.5000 0.5000 0.5000
```

---

Question: which arrangement is favored energetically? Ranking from most to least stable: B, A.